No. 1
This record from Alexandria via LeMat-Bulk describes an optimized crystal structure of BeTlSe2. The functional is PBEsol.

The value obtained for the energy above the most stable polymorph in this dataset is 0.0382 eV per atom. The raw total energy is -3.86 eV per atom. For the formation energy (no corrections), the calculation gives -276 meV/atom.

```
data_BeTlSe2
_symmetry_space_group_name_H-M 'R -3 m'
_symmetry_Int_Tables_number 166
_symmetry_space_group_name_Hall '-R 3 2"'
_cell_length_a 3.7144
_cell_length_b 3.7144
_cell_length_c 19.9316
_cell_angle_alpha 90.00
_cell_angle_beta 90.00
_cell_angle_gamma 120.00
loop_
_atom_site_label
_atom_site_fract_x
_atom_site_fract_y
_atom_site_fract_z
Be1 0.0000 0.0000 0.0000
Tl1 0.0000 0.0000 0.5000
Se1 0.0000 0.0000 0.2716
```

=====

No. 2
This record from Alexandria via LeMat-Bulk describes an optimized crystal structure of Li2MnSiO4. The functional is PBEsol.

The value obtained for the energy above the most stable polymorph in this dataset is 0.0034 eV per atom. The raw total energy is -7.29 eV per atom. For the formation energy (no corrections), the calculation gives -2238 meV/atom.

```
data_Li2MnSiO4
_symmetry_space_group_name_H-M 'P 1 c 1'
_symmetry_Int_Tables_number 7
_symmetry_space_group_name_Hall 'P -2yc'
_cell_length_a 4.989
_cell_length_b 5.410
_cell_length_c 7.983
_cell_angle_alpha 90.00
_cell_angle_beta 128.55
_cell_angle_gamma 90.00
loop_
_atom_site_label
_atom_site_fract_x
_atom_site_fract_y
_atom_site_fract_z
Li1 0.000 0.155 0.000
Li2 0.748 0.321 0.248
Mn1 0.255 0.335 0.755
Si1 0.505 0.170 0.499
O1 0.175 0.308 0.281
O2 0.400 0.117 0.004
O3 0.622 0.320 0.716
O4 0.832 0.174 0.496
```